The following is a DFT calculation (PBE-GGA) of RbYSi3 after structural relaxation.

The structure belongs to space group Pm-3m (No. 221); the cell edges are 5.212, 5.212 and 5.212 Å and the angles 90.00°, 90.00° and 90.00°. The asymmetric unit holds Rb at (0.000, 0.000, 0.000), Y at (0.500, 0.500, 0.500) and Si at (0.000, 0.000, 0.500).

The calculation puts the total energy at -3.082 eV/atom. The energy relative to the lowest polymorph listed for this composition comes out at 1021 meV per atom. The value obtained for the total magnetization is 0.00 μB per atom. The density of states at the Fermi level comes out at 4.0 states/eV/cell. The uncorrected formation energy is 1.659 eV/atom.

The following is a DFT calculation (PBE-GGA) of RbYSi2 after structural relaxation.

The structure belongs to space group I4_1/amd (No. 141, origin choice 2); the cell edges are 5.469, 5.469 and 19.544 Å and the angles 90.00°, 90.00° and 90.00°. The asymmetric unit holds Rb at (0.000, 0.250, 0.375), Y at (0.000, 0.250, 0.875) and Si at (0.000, 0.000, 0.000).

The calculation puts the total energy at -4.219 eV/atom. The energy relative to the lowest polymorph listed for this composition comes out at 0 meV per atom. The value obtained for the total magnetization is 0.00 μB per atom. The density of states at the Fermi level comes out at 11.8 states/eV/cell. The uncorrected formation energy is 0.350 eV/atom.

The following is a DFT calculation (PBE-GGA) of RbYSi3 after structural relaxation.

The structure belongs to space group Pm-3m (No. 221); the cell edges are 5.465, 5.465 and 5.465 Å and the angles 90.00°, 90.00° and 90.00°. The asymmetric unit holds Rb at (0.000, 0.000, 0.000), Y at (0.500, 0.500, 0.500) and Si at (0.000, 0.500, 0.500).

The calculation puts the total energy at -4.102 eV/atom. The energy relative to the lowest polymorph listed for this composition comes out at 0 meV per atom. The value obtained for the total magnetization is 0.00 μB per atom. The density of states at the Fermi level comes out at 2.1 states/eV/cell. The uncorrected formation energy is 0.638 eV/atom.

The following is a DFT calculation (PBE-GGA) of Rb3YSi after structural relaxation.

The structure belongs to space group Pm-3m (No. 221); the cell edges are 6.777, 6.777 and 6.777 Å and the angles 90.00°, 90.00° and 90.00°. The asymmetric unit holds Rb at (0.000, 0.000, 0.500), Y at (0.500, 0.500, 0.500) and Si at (0.000, 0.000, 0.000).

The calculation puts the total energy at -2.059 eV/atom. The energy relative to the lowest polymorph listed for this composition comes out at 0 meV per atom. The value obtained for the total magnetization is 0.46 μB per atom. The density of states at the Fermi level comes out at 8.6 states/eV/cell. The uncorrected formation energy is 0.899 eV/atom.

The following is a DFT calculation (PBE-GGA) of Rb3YSi after structural relaxation.

The structure belongs to space group Pm-3m (No. 221); the cell edges are 7.538, 7.538 and 7.538 Å and the angles 90.00°, 90.00° and 90.00°. The asymmetric unit holds Rb at (0.000, 0.000, 0.500), Y at (0.000, 0.000, 0.000) and Si at (0.500, 0.500, 0.500).

The calculation puts the total energy at -1.567 eV/atom. The energy relative to the lowest polymorph listed for this composition comes out at 492 meV per atom. The value obtained for the total magnetization is 1.12 μB per atom. The density of states at the Fermi level comes out at 16.5 states/eV/cell. The uncorrected formation energy is 1.391 eV/atom.

The following is a DFT calculation (PBE-GGA) of RbYSi2 after structural relaxation.

The structure belongs to space group Fm-3m (No. 225); the cell edges are 7.451, 7.451 and 7.451 Å and the angles 90.00°, 90.00° and 90.00°. The asymmetric unit holds Rb at (0.000, 0.000, 0.000), Y at (0.000, 0.000, 0.500) and Si at (0.250, 0.250, 0.250).

The calculation puts the total energy at -4.211 eV/atom. The energy relative to the lowest polymorph listed for this composition comes out at 9 meV per atom. The value obtained for the total magnetization is 0.00 μB per atom. The density of states at the Fermi level comes out at 9.6 states/eV/cell. The uncorrected formation energy is 0.359 eV/atom.

The following is a DFT calculation (PBE-GGA) of RbYZnSi2 after structural relaxation.

The structure belongs to space group P4/mmm (No. 123); the cell edges are 5.396, 5.396 and 7.189 Å and the angles 90.00°, 90.00° and 90.00°. The asymmetric unit holds Rb at (0.000, 0.000, 0.000), Y at (0.000, 0.000, 0.500), Zn at (0.500, 0.500, 0.000) and Si at (0.000, 0.500, 0.500).

The calculation puts the total energy at -3.043 eV/atom. The value obtained for the total magnetization is 0.00 μB per atom. The density of states at the Fermi level comes out at 2.7 states/eV/cell. The uncorrected formation energy is 0.867 eV/atom.

The following is a DFT calculation (PBE-GGA) of RbZnSi3 after structural relaxation.

The structure belongs to space group Pm-3m (No. 221); the cell edges are 5.716, 5.716 and 5.716 Å and the angles 90.00°, 90.00° and 90.00°. The asymmetric unit holds Rb at (0.000, 0.000, 0.000), Zn at (0.500, 0.500, 0.500) and Si at (0.000, 0.000, 0.500).

The calculation puts the total energy at -1.406 eV/atom. The energy relative to the lowest polymorph listed for this composition comes out at 1487 meV per atom. The value obtained for the total magnetization is 0.00 μB per atom. The density of states at the Fermi level comes out at 6.8 states/eV/cell. The uncorrected formation energy is 2.296 eV/atom.

The following is a DFT calculation (PBE-GGA) of RbZn2Si2 after structural relaxation.

The structure belongs to space group I4/mmm (No. 139); the cell edges are 4.481, 4.481 and 10.407 Å and the angles 90.00°, 90.00° and 90.00°. The asymmetric unit holds Rb at (0.000, 0.000, 0.000), Zn at (0.000, 0.500, 0.250) and Si at (0.000, 0.000, 0.382).

The calculation puts the total energy at -2.786 eV/atom. The energy relative to the lowest polymorph listed for this composition comes out at 0 meV per atom. The value obtained for the total magnetization is 0.00 μB per atom. The density of states at the Fermi level comes out at 3.6 states/eV/cell. The uncorrected formation energy is 0.086 eV/atom.

The following is a DFT calculation (PBE-GGA) of RbZn2Si2 after structural relaxation.

The structure belongs to space group I4/mmm (No. 139); the cell edges are 4.350, 4.350 and 11.333 Å and the angles 90.00°, 90.00° and 90.00°. The asymmetric unit holds Rb at (0.000, 0.000, 0.000), Zn at (0.000, 0.000, 0.375) and Si at (0.000, 0.500, 0.250).

The calculation puts the total energy at -2.665 eV/atom. The energy relative to the lowest polymorph listed for this composition comes out at 121 meV per atom. The value obtained for the total magnetization is 0.00 μB per atom. The density of states at the Fermi level comes out at 3.6 states/eV/cell. The uncorrected formation energy is 0.207 eV/atom.

The following is a DFT calculation (PBE-GGA) of RbZn2Si after structural relaxation.

The structure belongs to space group R-3m (No. 166, hexagonal axes); the cell edges are 4.3450, 4.3450 and 19.2495 Å and the angles 90.00°, 90.00° and 120.00°. The asymmetric unit holds Rb at (0.0000, 0.0000, 0.0000), Zn at (0.0000, 0.0000, 0.1964) and Si at (0.0000, 0.0000, 0.5000).

The calculation puts the total energy at -2.139 eV/atom. The value obtained for the total magnetization is 0.00 μB per atom. The density of states at the Fermi level comes out at 3.7 states/eV/cell. The uncorrected formation energy is 0.096 eV/atom.

The following is a DFT calculation (PBE-GGA) of RbZnSi3 after structural relaxation.

The structure belongs to space group Pm-3m (No. 221); the cell edges are 4.957, 4.957 and 4.957 Å and the angles 90.00°, 90.00° and 90.00°. The asymmetric unit holds Rb at (0.000, 0.000, 0.000), Zn at (0.500, 0.500, 0.500) and Si at (0.000, 0.500, 0.500).

The calculation puts the total energy at -2.893 eV/atom. The energy relative to the lowest polymorph listed for this composition comes out at 0 meV per atom. The value obtained for the total magnetization is 0.00 μB per atom. The density of states at the Fermi level comes out at 2.6 states/eV/cell. The uncorrected formation energy is 0.809 eV/atom.